(1)
The following is a DFT calculation (PBE) of a geometry-optimized Ba2HoNi9 structure.

Cell lengths 5.0701, 5.0701, 26.1538 Å; angles 90.00, 90.00, 120.00 degrees
Space group R-3m (No. 166, hexagonal axes)
Asymmetric unit:
Ba 0.0000 0.0000 0.1380 x6
Ho 0.0000 0.0000 0.0000 x3
Ni 0.0000 0.0000 0.3323 x6
Ni 0.0000 0.0000 0.5000 x3
Ni 0.0036 0.5018 0.0734 x18

DFT total energy = -5.0782 eV/atom
Formation enthalpy at 0 K = -0.0403 eV per atom
Density of states at the Fermi level = 33.22 states/eV per cell

=====

(2)
The following is a DFT calculation (PBE) of a geometry-optimized YGeB3 structure.

Cell lengths 4.145, 4.145, 4.145 Å; angles 90.00, 90.00, 90.00 degrees
Space group Pm-3m (No. 221)
Asymmetric unit:
Y 0.000 0.000 0.000 x1
Ge 0.500 0.500 0.500 x1
B 0.000 0.500 0.500 x3

DFT total energy = -5.1403 eV/atom
Formation enthalpy at 0 K = 1.0825 eV per atom
Density of states at the Fermi level = 2.32 states/eV per cell

=====

(3)
The following is a DFT calculation (PBE) of a geometry-optimized ZnCrRe2 structure.

Cell lengths 2.7382, 2.7382, 26.1762 Å; angles 90.00, 90.00, 120.00 degrees
Space group R-3m (No. 166, hexagonal axes)
Asymmetric unit:
Zn 0.0000 0.0000 0.0000 x3
Cr 0.0000 0.0000 0.5000 x3
Re 0.0000 0.0000 0.2456 x6

DFT total energy = -8.7699 eV/atom
Formation enthalpy at 0 K = 0.1785 eV per atom
Density of states at the Fermi level = 12.81 states/eV per cell

=====

(4)
The following is a DFT calculation (PBE) of a geometry-optimized ZrHgRu structure.

Cell lengths 4.6253, 4.6253, 3.0498 Å; angles 90.00, 90.00, 120.00 degrees
Space group P3m1 (No. 156)
Asymmetric unit:
Zr 0.0000 0.0000 0.0000 x1
Hg 0.6667 0.3333 0.4257 x1
Ru 0.3333 0.6667 0.7634 x1

DFT total energy = -6.0480 eV/atom
Formation enthalpy at 0 K = -0.0061 eV per atom
Density of states at the Fermi level = 1.64 states/eV per cell

=====

(5)
The following is a DFT calculation (PBE) of a geometry-optimized AcSn2PdAu structure.

Cell lengths 4.809, 4.809, 10.890 Å; angles 90.00, 90.00, 90.00 degrees
Space group I-4m2 (No. 119)
Asymmetric unit:
Ac 0.000 0.000 0.000 x2
Sn 0.000 0.000 0.369 x4
Pd 0.000 0.500 0.250 x2
Au 0.000 0.500 0.750 x2

DFT total energy = -4.8050 eV/atom
Formation enthalpy at 0 K = -0.6881 eV per atom
Density of states at the Fermi level = 4.40 states/eV per cell

=====

(6)
The following is a DFT calculation (PBE) of a geometry-optimized Mg2Co structure.

Cell lengths 10.218, 3.168, 6.813 Å; angles 90.00, 108.44, 90.00 degrees
Space group Cm (No. 8)
Asymmetric unit:
Mg 0.000 0.000 0.000 x2
Mg 0.001 0.000 0.500 x2
Mg 0.193 0.500 0.808 x2
Mg 0.307 0.000 0.193 x2
Co 0.182 0.500 0.387 x2
Co 0.320 0.000 0.617 x2

DFT total energy = -3.2883 eV/atom
Formation enthalpy at 0 K = 0.1434 eV per atom
Density of states at the Fermi level = 10.78 states/eV per cell

=====

(7)
The following is a DFT calculation (PBE) of a geometry-optimized GdCoTe2 structure.

Cell lengths 3.7580, 3.7580, 26.9029 Å; angles 90.00, 90.00, 120.00 degrees
Space group R-3m (No. 166, hexagonal axes)
Asymmetric unit:
Gd 0.0000 0.0000 0.0000 x3
Co 0.0000 0.0000 0.5000 x3
Te 0.0000 0.0000 0.1158 x6

DFT total energy = -7.0320 eV/atom
ΔE_f (raw) = -0.165 eV/atom
Density of states at the Fermi level = 17.93 states/eV per cell

=====

(8)
The following is a DFT calculation (PBE) of a geometry-optimized TlCrTe2 structure.

Cell lengths 4.0973, 4.0973, 23.8668 Å; angles 90.00, 90.00, 120.00 degrees
Space group R3m (No. 160, hexagonal axes)
Asymmetric unit:
Tl 0.0000 0.0000 0.0000 x3
Cr 0.0000 0.0000 0.8350 x3
Te 0.0000 0.0000 0.2294 x3
Te 0.0000 0.0000 0.4418 x3

DFT total energy = -4.8160 eV/atom
ΔE_f (raw) = -0.248 eV/atom
Density of states at the Fermi level = 2.67 states/eV per cell